{
  "formula": "SrAcMgZn",
  "functional": "GGA-PBE",
  "state": "optimized geometry",
  "formation_enthalpy_0k_ev_per_fu": -0.5,
  "vol_a3_per_cell": 131,
  "dft_energy_ev_per_fu": -9.199,
  "crystal_system": "tetragonal",
  "sg": "P4mm, No. 99",
  "lattice": [[4.004, 0.000, 0.000], [0.000, 4.004, 0.000], [0.000, 0.000, 8.186]],
  "species": ["Sr", "Ac", "Mg", "Zn"],
  "frac_coords": [[0.000, 0.000, 0.000], [0.000, 0.000, 0.463], [0.500, 0.500, 0.728], [0.500, 0.500, 0.242]]
}

=====

{
  "formula": "SrAcMgZn",
  "functional": "GGA-PBE",
  "state": "optimized geometry",
  "formation_enthalpy_0k_ev_per_fu": -0.4,
  "vol_a3_per_cell": 523,
  "dft_energy_ev_per_fu": -9.096,
  "crystal_system": "cubic",
  "sg": "F-43m, No. 216",
  "lattice": [[8.058, 0.000, 0.000], [0.000, 8.058, 0.000], [0.000, 0.000, 8.058]],
  "species": ["Sr", "Sr", "Sr", "Sr", "Ac", "Ac", "Ac", "Ac", "Mg", "Mg", "Mg", "Mg", "Zn", "Zn", "Zn", "Zn"],
  "frac_coords": [[0.000, 0.000, 0.000], [0.000, 0.500, 0.500], [0.500, 0.000, 0.500], [0.500, 0.500, 0.000], [0.000, 0.000, 0.500], [0.000, 0.500, 0.000], [0.500, 0.000, 0.000], [0.500, 0.500, 0.500], [0.250, 0.250, 0.750], [0.250, 0.750, 0.250], [0.750, 0.250, 0.250], [0.750, 0.750, 0.750], [0.250, 0.250, 0.250], [0.250, 0.750, 0.750], [0.750, 0.250, 0.750], [0.750, 0.750, 0.250]]
}

=====

{
  "formula": "Ac2MgTa",
  "functional": "GGA-PBE",
  "state": "optimized geometry",
  "formation_enthalpy_0k_ev_per_fu": 3.5,
  "vol_a3_per_cell": 377,
  "dft_energy_ev_per_fu": -18.141,
  "crystal_system": "trigonal",
  "sg": "R-3m, No. 166",
  "lattice": [[3.419, 0.000, 0.000], [-1.709, 2.961, 0.000], [0.000, 0.000, 37.199]],
  "species": ["Ac", "Ac", "Ac", "Ac", "Ac", "Ac", "Mg", "Mg", "Mg", "Ta", "Ta", "Ta"],
  "frac_coords": [[0.000, 0.000, 0.082], [0.000, 0.000, 0.918], [0.333, 0.667, 0.585], [0.333, 0.667, 0.749], [0.667, 0.333, 0.251], [0.667, 0.333, 0.415], [0.000, 0.000, 0.500], [0.333, 0.667, 0.167], [0.667, 0.333, 0.833], [0.000, 0.000, 0.000], [0.333, 0.667, 0.667], [0.667, 0.333, 0.333]]
}

=====

{
  "formula": "AcTb2Mg",
  "functional": "GGA-PBE",
  "state": "optimized geometry",
  "formation_enthalpy_0k_ev_per_fu": 0.9,
  "vol_a3_per_cell": 408,
  "dft_energy_ev_per_fu": -14.046,
  "crystal_system": "trigonal",
  "sg": "R-3m, No. 166",
  "lattice": [[3.556, 0.000, 0.000], [-1.778, 3.080, 0.000], [0.000, 0.000, 37.222]],
  "species": ["Ac", "Ac", "Ac", "Tb", "Tb", "Tb", "Tb", "Tb", "Tb", "Mg", "Mg", "Mg"],
  "frac_coords": [[0.000, 0.000, 0.000], [0.333, 0.667, 0.667], [0.667, 0.333, 0.333], [0.000, 0.000, 0.096], [0.000, 0.000, 0.904], [0.333, 0.667, 0.571], [0.333, 0.667, 0.763], [0.667, 0.333, 0.237], [0.667, 0.333, 0.429], [0.000, 0.000, 0.500], [0.333, 0.667, 0.167], [0.667, 0.333, 0.833]]
}

=====

{
  "formula": "AcTb2Mg",
  "functional": "GGA-PBE",
  "state": "optimized geometry",
  "formation_enthalpy_0k_ev_per_fu": 0.6,
  "vol_a3_per_cell": 526,
  "dft_energy_ev_per_fu": -14.413,
  "crystal_system": "cubic",
  "sg": "Fm-3m, No. 225",
  "lattice": [[8.070, 0.000, 0.000], [0.000, 8.070, 0.000], [0.000, 0.000, 8.070]],
  "species": ["Ac", "Ac", "Ac", "Ac", "Tb", "Tb", "Tb", "Tb", "Tb", "Tb", "Tb", "Tb", "Mg", "Mg", "Mg", "Mg"],
  "frac_coords": [[0.000, 0.000, 0.000], [0.000, 0.500, 0.500], [0.500, 0.000, 0.500], [0.500, 0.500, 0.000], [0.250, 0.250, 0.250], [0.250, 0.250, 0.750], [0.250, 0.750, 0.250], [0.250, 0.750, 0.750], [0.750, 0.250, 0.250], [0.750, 0.250, 0.750], [0.750, 0.750, 0.250], [0.750, 0.750, 0.750], [0.000, 0.000, 0.500], [0.000, 0.500, 0.000], [0.500, 0.000, 0.000], [0.500, 0.500, 0.500]]
}

=====

{
  "formula": "Ac3TbMg2",
  "functional": "GGA-PBE",
  "state": "optimized geometry",
  "formation_enthalpy_0k_ev_per_fu": -0.2,
  "vol_a3_per_cell": 217,
  "dft_energy_ev_per_fu": -20.299,
  "crystal_system": "tetragonal",
  "sg": "P4/mmm, No. 123",
  "lattice": [[4.058, 0.000, 0.000], [0.000, 4.058, 0.000], [0.000, 0.000, 13.200]],
  "species": ["Ac", "Ac", "Ac", "Tb", "Mg", "Mg"],
  "frac_coords": [[0.000, 0.000, 0.000], [0.000, 0.000, 0.315], [0.000, 0.000, 0.685], [0.500, 0.500, 0.500], [0.500, 0.500, 0.160], [0.500, 0.500, 0.840]]
}

=====

Please write out number 1 again, unchanged.
{
  "formula": "SrAcMgZn",
  "functional": "GGA-PBE",
  "state": "optimized geometry",
  "formation_enthalpy_0k_ev_per_fu": -0.5,
  "vol_a3_per_cell": 131,
  "dft_energy_ev_per_fu": -9.199,
  "crystal_system": "tetragonal",
  "sg": "P4mm, No. 99",
  "lattice": [[4.004, 0.000, 0.000], [0.000, 4.004, 0.000], [0.000, 0.000, 8.186]],
  "species": ["Sr", "Ac", "Mg", "Zn"],
  "frac_coords": [[0.000, 0.000, 0.000], [0.000, 0.000, 0.463], [0.500, 0.500, 0.728], [0.500, 0.500, 0.242]]
}